# 1
VASP calculation (PBE-GGA) on a relaxed structure of Ac3Ga2HgPd9.

Properties
Its mass density is 9233 kg/m3. The formation energy comes out at -0.60 eV per atom. For the total energy, the calculation gives -74.4 eV/cell.

POSCAR file:
```
Ac3Ga2HgPd9
1.0
-1.740 4.109 -4.000
1.791 -5.412 -1.849
-10.759 -3.819 0.757
Ac Ga Hg Pd
3 2 1 9
Cartesian
-7.216 -5.018 -2.015
0.000 0.000 0.000
-3.493 -0.105 -3.077
-1.100 -2.847 -2.445
-9.608 -2.275 -2.647
-5.379 -1.910 0.379
-8.709 -0.051 -3.134
-7.759 -2.922 -4.115
-7.786 -2.231 -1.013
-2.923 -2.892 -4.079
-2.949 -2.201 -0.977
-2.000 -5.071 -1.958
-0.870 2.054 -2.000
0.896 -2.706 -0.924
0.025 -0.651 -2.925
```

***

# 2
VASP calculation (PBE-GGA) on a relaxed structure of Ac2GaHg2Pt4.

Properties
Its mass density is 13657 kg/m3. The formation energy comes out at -0.67 eV per atom. For the total energy, the calculation gives -42.0 eV/cell.

POSCAR file:
```
Ac2GaHg2Pt4
1.0
-6.416 1.137 -0.574
1.809 -4.128 4.741
3.680 5.033 1.979
Ac Ga Hg Pt
2 1 2 4
Cartesian
-0.931 -1.270 3.763
0.004 3.311 2.382
0.000 0.000 0.000
3.752 0.619 4.593
1.737 0.286 2.127
2.286 -1.793 4.037
0.945 1.232 4.725
3.203 2.698 2.683
-1.872 0.810 1.420
```

***

# 3
VASP calculation (PBE-GGA) on a relaxed structure of AcGa2HgPt5.

Properties
Its mass density is 14436 kg/m3. The formation energy comes out at -0.39 eV per atom. For the total energy, the calculation gives -44.2 eV/cell.

POSCAR file:
```
AcGa2HgPt5
1.0
4.810 0.000 0.000
0.000 4.810 0.000
0.000 0.000 7.670
Ac Ga Hg Pt
1 2 1 5
Cartesian
0.000 0.000 3.835
2.405 2.405 1.261
2.405 2.405 6.409
0.000 0.000 0.000
0.000 2.405 1.784
2.405 0.000 1.784
0.000 2.405 5.885
2.405 0.000 5.885
2.405 2.405 3.835
```

***

Number 1: spin magnetization 0.000 Bohr magnetons per cell. Number 2: spin magnetization 0.000 Bohr magnetons per cell. Number 3: spin magnetization 0.000 Bohr magnetons per cell.